Record 1
## Ac8PmNd2 (PBE-GGA)

Data for crystalline Ac8PmNd2 at its relaxed geometry.

Results
Space group: Immm
N(E_F) in states/eV/cell: 19.00
Crystal system: orthorhombic
Energy relative to the lowest polymorph listed for this composition in eV per formula unit: 0.00
ΔE_f in eV/atom: 0.112

The structure in CIF format:
```
data_Ac8PmNd2
_symmetry_space_group_name_H-M 'P 1'
_symmetry_Int_Tables_number 1
_symmetry_space_group_name_Hall 'P 1'
_cell_length_a 6.0189
_cell_length_b 9.1006
_cell_length_c 10.2054
_cell_angle_alpha 116.48
_cell_angle_beta 107.15
_cell_angle_gamma 90.00
loop_
_atom_site_label
_atom_site_type_symbol
_atom_site_fract_x
_atom_site_fract_y
_atom_site_fract_z
_atom_site_occupancy
Nd1 Nd 0.1998 0.6998 0.3996 1
Nd2 Nd 0.8002 0.3002 0.6004 1
Ac1 Ac 0.8404 0.8404 0.6807 1
Ac2 Ac 0.3586 0.5666 0.7172 1
Ac3 Ac 0.6414 0.4334 0.2828 1
Ac4 Ac 0.0000 0.2953 0.0000 1
Ac5 Ac 0.1596 0.1596 0.3193 1
Ac6 Ac 0.0000 0.7047 0.0000 1
Ac7 Ac 0.3586 0.1506 0.7171 1
Ac8 Ac 0.6414 0.8494 0.2829 1
Pm1 Pm 0.5000 0.0000 0.0000 1
```

Record 2
## Ac5Pm6Nd2 (PBE-GGA)

Data for crystalline Ac5Pm6Nd2 at its relaxed geometry.

Results
Space group: Pbam
N(E_F) in states/eV/cell: 40.00
Crystal system: orthorhombic
ΔE_f in eV/atom: 0.077

The structure in CIF format:
```
data_Ac5Pm6Nd2
_symmetry_space_group_name_H-M 'P 1'
_symmetry_Int_Tables_number 1
_symmetry_space_group_name_Hall 'P 1'
_cell_length_a 3.8101
_cell_length_b 12.0567
_cell_length_c 22.0938
_cell_angle_alpha 90.00
_cell_angle_beta 90.00
_cell_angle_gamma 90.00
loop_
_atom_site_label
_atom_site_type_symbol
_atom_site_fract_x
_atom_site_fract_y
_atom_site_fract_z
_atom_site_occupancy
Ac1 Ac 0.5000 0.0693 0.9258 1
Ac2 Ac 0.5000 0.5000 0.0000 1
Ac3 Ac 0.5000 0.1451 0.2224 1
Ac4 Ac 0.5000 0.6451 0.2776 1
Ac5 Ac 0.5000 0.0000 0.5000 1
Ac6 Ac 0.5000 0.4307 0.4258 1
Ac7 Ac 0.5000 0.3549 0.7224 1
Ac8 Ac 0.5000 0.8549 0.7776 1
Ac9 Ac 0.5000 0.5693 0.5742 1
Ac10 Ac 0.5000 0.9307 0.0742 1
Pm1 Pm 0.5000 0.5848 0.8488 1
Pm2 Pm 0.0000 0.7256 0.4442 1
Pm3 Pm 0.5000 0.9152 0.3488 1
Pm4 Pm 0.0000 0.1620 0.3811 1
Pm5 Pm 0.0000 0.7744 0.9442 1
Pm6 Pm 0.0000 0.6620 0.1189 1
Pm7 Pm 0.0000 0.2744 0.5558 1
Pm8 Pm 0.5000 0.0848 0.6512 1
Pm9 Pm 0.0000 0.2256 0.0558 1
Pm10 Pm 0.0000 0.8380 0.6189 1
Pm11 Pm 0.0000 0.3380 0.8811 1
Pm12 Pm 0.5000 0.4152 0.1512 1
Nd1 Nd 0.0000 0.1164 0.7837 1
Nd2 Nd 0.0000 0.6164 0.7163 1
Nd3 Nd 0.0000 0.8836 0.2163 1
Nd4 Nd 0.0000 0.3836 0.2837 1
```

Record 3
## AcPm6Nd5 (PBE-GGA)

Data for crystalline AcPm6Nd5 at its relaxed geometry.

Results
Space group: C2/m
N(E_F) in states/eV/cell: 18.45
Crystal system: monoclinic
ΔE_f in eV/atom: 0.019

The structure in CIF format:
```
data_AcPm6Nd5
_symmetry_space_group_name_H-M 'P 1'
_symmetry_Int_Tables_number 1
_symmetry_space_group_name_Hall 'P 1'
_cell_length_a 6.4032
_cell_length_b 6.4023
_cell_length_c 12.2253
_cell_angle_alpha 84.97
_cell_angle_beta 79.91
_cell_angle_gamma 60.00
loop_
_atom_site_label
_atom_site_type_symbol
_atom_site_fract_x
_atom_site_fract_y
_atom_site_fract_z
_atom_site_occupancy
Pm1 Pm 0.7482 0.0000 0.7471 1
Pm2 Pm 0.9165 0.6644 0.2527 1
Pm3 Pm 0.0835 0.3356 0.7473 1
Pm4 Pm 0.4191 0.6644 0.7473 1
Pm5 Pm 0.2518 0.0000 0.2529 1
Pm6 Pm 0.5809 0.3356 0.2527 1
Ac1 Ac 0.0000 0.0000 0.0000 1
Nd1 Nd 0.8330 0.3339 0.5000 1
Nd2 Nd 0.3335 0.3329 0.0000 1
Nd3 Nd 0.1670 0.6661 0.5000 1
Nd4 Nd 0.5000 0.0000 0.5000 1
Nd5 Nd 0.6665 0.6671 0.0000 1
```

Record 4
## AcPm5Nd4 (PBE-GGA)

Data for crystalline AcPm5Nd4 at its relaxed geometry.

Results
Space group: P4/mmm
N(E_F) in states/eV/cell: 15.72
Crystal system: tetragonal
ΔE_f in eV/atom: 0.024

The structure in CIF format:
```
data_AcPm5Nd4
_symmetry_space_group_name_H-M 'P 1'
_symmetry_Int_Tables_number 1
_symmetry_space_group_name_Hall 'P 1'
_cell_length_a 3.7171
_cell_length_b 3.7171
_cell_length_c 25.9585
_cell_angle_alpha 90.00
_cell_angle_beta 90.00
_cell_angle_gamma 90.00
loop_
_atom_site_label
_atom_site_type_symbol
_atom_site_fract_x
_atom_site_fract_y
_atom_site_fract_z
_atom_site_occupancy
Nd1 Nd 0.0000 0.0000 0.5985 1
Nd2 Nd 0.0000 0.0000 0.2044 1
Nd3 Nd 0.0000 0.0000 0.7956 1
Nd4 Nd 0.0000 0.0000 0.4015 1
Pm1 Pm 0.5000 0.5000 0.3032 1
Pm2 Pm 0.5000 0.5000 0.6968 1
Pm3 Pm 0.5000 0.5000 0.5000 1
Pm4 Pm 0.5000 0.5000 0.8936 1
Pm5 Pm 0.5000 0.5000 0.1064 1
Ac1 Ac 0.0000 0.0000 0.0000 1
```

Record 5
## Ac4PmNd15 (PBE-GGA)

Data for crystalline Ac4PmNd15 at its relaxed geometry.

Results
Space group: P2/m
N(E_F) in states/eV/cell: 31.60
Crystal system: monoclinic
ΔE_f in eV/atom: 0.023

The structure in CIF format:
```
data_Ac4PmNd15
_symmetry_space_group_name_H-M 'P 1'
_symmetry_Int_Tables_number 1
_symmetry_space_group_name_Hall 'P 1'
_cell_length_a 6.4446
_cell_length_b 3.7652
_cell_length_c 32.2433
_cell_angle_alpha 90.00
_cell_angle_beta 70.97
_cell_angle_gamma 90.00
loop_
_atom_site_label
_atom_site_type_symbol
_atom_site_fract_x
_atom_site_fract_y
_atom_site_fract_z
_atom_site_occupancy
Nd1 Nd 0.9997 0.5000 0.7010 1
Nd2 Nd 0.0025 0.5000 0.0970 1
Nd3 Nd 0.5024 0.0000 0.0982 1
Nd4 Nd 0.5000 0.0000 0.5000 1
Nd5 Nd 0.4988 0.5000 0.8015 1
Nd6 Nd 0.4991 0.0000 0.2991 1
Nd7 Nd 0.5012 0.5000 0.1985 1
Nd8 Nd 0.5003 0.5000 0.6005 1
Nd9 Nd 0.0000 0.5000 0.5000 1
Nd10 Nd 0.5009 0.0000 0.7009 1
Nd11 Nd 0.4997 0.5000 0.3995 1
Nd12 Nd 0.9975 0.5000 0.9030 1
Nd13 Nd 0.5000 0.5000 0.0000 1
Nd14 Nd 0.4976 0.0000 0.9018 1
Nd15 Nd 0.0003 0.5000 0.2990 1
Ac1 Ac 0.9996 0.0000 0.3995 1
Ac2 Ac 0.9999 0.0000 0.8016 1
Ac3 Ac 0.0001 0.0000 0.1984 1
Ac4 Ac 0.0004 0.0000 0.6005 1
Pm1 Pm 0.0000 0.0000 0.0000 1
```

Record 6
## AcPm6Nd10 (PBE-GGA)

Data for crystalline AcPm6Nd10 at its relaxed geometry.

Results
Space group: P-31m
N(E_F) in states/eV/cell: 27.22
Crystal system: trigonal
ΔE_f in eV/atom: 0.126

The structure in CIF format:
```
data_AcPm6Nd10
_symmetry_space_group_name_H-M 'P 1'
_symmetry_Int_Tables_number 1
_symmetry_space_group_name_Hall 'P 1'
_cell_length_a 7.0620
_cell_length_b 10.0119
_cell_length_c 10.0119
_cell_angle_alpha 120.00
_cell_angle_beta 90.00
_cell_angle_gamma 90.00
loop_
_atom_site_label
_atom_site_type_symbol
_atom_site_fract_x
_atom_site_fract_y
_atom_site_fract_z
_atom_site_occupancy
Pm1 Pm 0.6919 0.0000 0.6262 1
Pm2 Pm 0.6919 0.6262 0.0000 1
Pm3 Pm 0.3081 0.3738 0.0000 1
Pm4 Pm 0.6919 0.3738 0.3738 1
Pm5 Pm 0.3081 0.6262 0.6262 1
Pm6 Pm 0.3081 0.0000 0.3738 1
Ac1 Ac 0.5000 0.0000 0.0000 1
Nd1 Nd 0.8253 0.7209 0.7209 1
Nd2 Nd 0.0000 0.6667 0.3333 1
Nd3 Nd 0.0000 0.3333 0.6667 1
Nd4 Nd 0.1747 0.0000 0.7209 1
Nd5 Nd 0.8253 0.2791 0.0000 1
Nd6 Nd 0.1747 0.7209 0.0000 1
Nd7 Nd 0.1747 0.2791 0.2791 1
Nd8 Nd 0.8253 0.0000 0.2791 1
Nd9 Nd 0.5000 0.3333 0.6667 1
Nd10 Nd 0.5000 0.6667 0.3333 1
```

Record 7
## Ac19Pm6Nd4 (PBE-GGA)

Data for crystalline Ac19Pm6Nd4 at its relaxed geometry.

Results
Space group: I23
N(E_F) in states/eV/cell: 44.42
Crystal system: cubic
ΔE_f in eV/atom: 0.344

The structure in CIF format:
```
data_Ac19Pm6Nd4
_symmetry_space_group_name_H-M 'P 1'
_symmetry_Int_Tables_number 1
_symmetry_space_group_name_Hall 'P 1'
_cell_length_a 11.7873
_cell_length_b 11.7873
_cell_length_c 11.7873
_cell_angle_alpha 109.47
_cell_angle_beta 109.47
_cell_angle_gamma 109.47
loop_
_atom_site_label
_atom_site_type_symbol
_atom_site_fract_x
_atom_site_fract_y
_atom_site_fract_z
_atom_site_occupancy
Pm1 Pm 0.6153 0.5000 0.1153 1
Pm2 Pm 0.8847 0.3847 0.5000 1
Pm3 Pm 0.5000 0.8847 0.3847 1
Pm4 Pm 0.3847 0.5000 0.8847 1
Pm5 Pm 0.5000 0.1153 0.6153 1
Pm6 Pm 0.1153 0.6153 0.5000 1
Ac1 Ac 0.2203 0.5570 0.2135 1
Ac2 Ac 0.0067 0.7865 0.3435 1
Ac3 Ac 0.0000 0.0000 0.0000 1
Ac4 Ac 0.6633 0.6565 0.4430 1
Ac5 Ac 0.2654 0.2654 0.0000 1
Ac6 Ac 0.9933 0.3367 0.7797 1
Ac7 Ac 0.4430 0.6633 0.6565 1
Ac8 Ac 0.0000 0.7346 0.7346 1
Ac9 Ac 0.7346 0.7346 0.0000 1
Ac10 Ac 0.7797 0.9933 0.3367 1
Ac11 Ac 0.2135 0.2203 0.5570 1
Ac12 Ac 0.2654 0.0000 0.2654 1
Ac13 Ac 0.7346 0.0000 0.7346 1
Ac14 Ac 0.7865 0.3435 0.0067 1
Ac15 Ac 0.0000 0.2654 0.2654 1
Ac16 Ac 0.5570 0.2135 0.2203 1
Ac17 Ac 0.6565 0.4430 0.6633 1
Ac18 Ac 0.3367 0.7797 0.9933 1
Ac19 Ac 0.3435 0.0067 0.7865 1
Nd1 Nd 0.0000 0.6453 0.0000 1
Nd2 Nd 0.0000 0.0000 0.6453 1
Nd3 Nd 0.6453 0.0000 0.0000 1
Nd4 Nd 0.3547 0.3547 0.3547 1
```

Record 8
## AcPm3Nd5 (PBE-GGA)

Data for crystalline AcPm3Nd5 at its relaxed geometry.

Results
Space group: C2/m
N(E_F) in states/eV/cell: 28.13
Crystal system: monoclinic
Energy relative to the lowest polymorph listed for this composition in eV per formula unit: 3.17
ΔE_f in eV/atom: 0.488

The structure in CIF format:
```
data_AcPm3Nd5
_symmetry_space_group_name_H-M 'P 1'
_symmetry_Int_Tables_number 1
_symmetry_space_group_name_Hall 'P 1'
_cell_length_a 8.6881
_cell_length_b 8.6881
_cell_length_c 14.1415
_cell_angle_alpha 58.16
_cell_angle_beta 58.16
_cell_angle_gamma 84.61
loop_
_atom_site_label
_atom_site_type_symbol
_atom_site_fract_x
_atom_site_fract_y
_atom_site_fract_z
_atom_site_occupancy
Nd1 Nd 0.5530 0.0483 0.5920 1
Nd2 Nd 0.9517 0.4470 0.4080 1
Nd3 Nd 0.6567 0.6567 0.5813 1
Nd4 Nd 0.0483 0.5530 0.5920 1
Nd5 Nd 0.7438 0.2562 0.0000 1
Nd6 Nd 0.3461 0.3461 0.9123 1
Nd7 Nd 0.6539 0.6539 0.0877 1
Nd8 Nd 0.3433 0.3433 0.4187 1
Nd9 Nd 0.4470 0.9517 0.4080 1
Nd10 Nd 0.2562 0.7438 0.0000 1
Ac1 Ac 0.0013 0.0013 0.2510 1
Ac2 Ac 0.9987 0.9987 0.7490 1
Pm1 Pm 0.3366 0.3366 0.6798 1
Pm2 Pm 0.6634 0.6634 0.3202 1
Pm3 Pm 0.0000 0.0000 0.5000 1
Pm4 Pm 0.3328 0.3328 0.1702 1
Pm5 Pm 0.0000 0.0000 0.0000 1
Pm6 Pm 0.6672 0.6672 0.8298 1
```

Record 9
## Ac8Pm4Nd (PBE-GGA)

Data for crystalline Ac8Pm4Nd at its relaxed geometry.

Results
Space group: C2/m
N(E_F) in states/eV/cell: 23.41
Crystal system: monoclinic
ΔE_f in eV/atom: 0.038

The structure in CIF format:
```
data_Ac8Pm4Nd
_symmetry_space_group_name_H-M 'P 1'
_symmetry_Int_Tables_number 1
_symmetry_space_group_name_Hall 'P 1'
_cell_length_a 5.5111
_cell_length_b 17.6262
_cell_length_c 6.6798
_cell_angle_alpha 63.96
_cell_angle_beta 65.64
_cell_angle_gamma 81.01
loop_
_atom_site_label
_atom_site_type_symbol
_atom_site_fract_x
_atom_site_fract_y
_atom_site_fract_z
_atom_site_occupancy
Pm1 Pm 0.8959 0.8265 0.3816 1
Pm2 Pm 0.6621 0.5163 0.1594 1
Pm3 Pm 0.1265 0.1323 0.6147 1
Pm4 Pm 0.3601 0.4425 0.8373 1
Ac1 Ac 0.2023 0.9044 0.6910 1
Ac2 Ac 0.5867 0.7505 0.0761 1
Ac3 Ac 0.9685 0.5933 0.4697 1
Ac4 Ac 0.2769 0.6688 0.7774 1
Ac5 Ac 0.7454 0.2900 0.2193 1
Ac6 Ac 0.0538 0.3655 0.5269 1
Ac7 Ac 0.4356 0.2083 0.9206 1
Ac8 Ac 0.8201 0.0545 0.3053 1
Nd1 Nd 0.5113 0.9794 0.9981 1
```

Record 10
## Ac4Pm3Nd2 (PBE-GGA)

Data for crystalline Ac4Pm3Nd2 at its relaxed geometry.

Results
Space group: P-1
N(E_F) in states/eV/cell: 16.21
Crystal system: triclinic
Energy relative to the lowest polymorph listed for this composition in eV per formula unit: 0.00
ΔE_f in eV/atom: 0.039

The structure in CIF format:
```
data_Ac4Pm3Nd2
_symmetry_space_group_name_H-M 'P 1'
_symmetry_Int_Tables_number 1
_symmetry_space_group_name_Hall 'P 1'
_cell_length_a 5.4411
_cell_length_b 6.5372
_cell_length_c 11.4069
_cell_angle_alpha 74.30
_cell_angle_beta 89.99
_cell_angle_gamma 65.48
loop_
_atom_site_label
_atom_site_type_symbol
_atom_site_fract_x
_atom_site_fract_y
_atom_site_fract_z
_atom_site_occupancy
Pm1 Pm 0.3349 0.3302 0.4485 1
Pm2 Pm 0.6651 0.6698 0.5515 1
Pm3 Pm 0.0000 0.0000 0.0000 1
Ac1 Ac 0.6664 0.6672 0.8888 1
Ac2 Ac 0.3336 0.3328 0.1112 1
Ac3 Ac 0.9967 0.0069 0.6667 1
Ac4 Ac 0.0033 0.9931 0.3333 1
Nd1 Nd 0.3294 0.3412 0.7730 1
Nd2 Nd 0.6706 0.6588 0.2270 1
```

Record 11
## Ac2Pm5Nd4 (PBE-GGA)

Data for crystalline Ac2Pm5Nd4 at its relaxed geometry.

Results
Space group: C2/m
N(E_F) in states/eV/cell: 16.43
Crystal system: monoclinic
Energy relative to the lowest polymorph listed for this composition in eV per formula unit: 0.00
ΔE_f in eV/atom: 0.127

The structure in CIF format:
```
data_Ac2Pm5Nd4
_symmetry_space_group_name_H-M 'P 1'
_symmetry_Int_Tables_number 1
_symmetry_space_group_name_Hall 'P 1'
_cell_length_a 3.6947
_cell_length_b 9.5392
_cell_length_c 12.7323
_cell_angle_alpha 112.37
_cell_angle_beta 98.34
_cell_angle_gamma 90.00
loop_
_atom_site_label
_atom_site_type_symbol
_atom_site_fract_x
_atom_site_fract_y
_atom_site_fract_z
_atom_site_occupancy
Nd1 Nd 0.6840 0.5321 0.3681 1
Nd2 Nd 0.9566 0.6229 0.9131 1
Nd3 Nd 0.0434 0.3771 0.0869 1
Nd4 Nd 0.3160 0.4679 0.6319 1
Pm1 Pm 0.2677 0.8700 0.5353 1
Pm2 Pm 0.5000 0.0000 0.0000 1
Pm3 Pm 0.7323 0.1300 0.4647 1
Pm4 Pm 0.8697 0.8099 0.7395 1
Pm5 Pm 0.1303 0.1901 0.2605 1
Ac1 Ac 0.1123 0.7975 0.2245 1
Ac2 Ac 0.8877 0.2025 0.7755 1
```

Record 12
## AcPm10Nd4 (PBE-GGA)

Data for crystalline AcPm10Nd4 at its relaxed geometry.

Results
Space group: I4/m
N(E_F) in states/eV/cell: 24.83
Crystal system: tetragonal
ΔE_f in eV/atom: 0.473

The structure in CIF format:
```
data_AcPm10Nd4
_symmetry_space_group_name_H-M 'P 1'
_symmetry_Int_Tables_number 1
_symmetry_space_group_name_Hall 'P 1'
_cell_length_a 6.9369
_cell_length_b 9.7611
_cell_length_c 9.7611
_cell_angle_alpha 82.75
_cell_angle_beta 69.19
_cell_angle_gamma 69.19
loop_
_atom_site_label
_atom_site_type_symbol
_atom_site_fract_x
_atom_site_fract_y
_atom_site_fract_z
_atom_site_occupancy
Pm1 Pm 0.7500 0.5000 0.5000 1
Pm2 Pm 0.0449 0.8361 0.5752 1
Pm3 Pm 0.6202 0.4248 0.8361 1
Pm4 Pm 0.8810 0.5752 0.1639 1
Pm5 Pm 0.9551 0.1639 0.4248 1
Pm6 Pm 0.1190 0.4248 0.8361 1
Pm7 Pm 0.3798 0.5752 0.1639 1
Pm8 Pm 0.2500 0.5000 0.5000 1
Pm9 Pm 0.5438 0.8361 0.5752 1
Pm10 Pm 0.4562 0.1639 0.4248 1
Nd1 Nd 0.6798 0.7535 0.8869 1
Nd2 Nd 0.4333 0.8869 0.2465 1
Nd3 Nd 0.5667 0.1131 0.7535 1
Nd4 Nd 0.3202 0.2465 0.1131 1
Ac1 Ac 0.0000 0.0000 0.0000 1
```